No. 1
# CuPbC3, relaxed, DFT PBE
# **Formation enthalpy at 0 K**: 18.15 eV per formula unit
# **Energy above the lowest structure with this stoichiometry**: 511 kJ/mol of formula units
data_CuPbC3
_cell_length_a 4.453
_cell_length_b 4.453
_cell_length_c 4.453
_cell_angle_alpha 90.00
_cell_angle_beta 90.00
_cell_angle_gamma 90.00
_symmetry_space_group_name_H-M 'P 1'
_symmetry_Int_Tables_number 1
_symmetry_space_group_name_Hall 'P 1'
loop_
_atom_site_label
_atom_site_type_symbol
_atom_site_fract_x
_atom_site_fract_y
_atom_site_fract_z
_atom_site_occupancy
C1 C 0.000 0.500 0.000 1
C2 C 0.000 0.000 0.500 1
Pb1 Pb 0.000 0.000 0.000 1
Cu1 Cu 0.500 0.500 0.500 1
C3 C 0.500 0.000 0.000 1

No. 2
# TiGe4Mo2, relaxed, DFT PBE
# **Formation enthalpy at 0 K**: 3.99 eV per formula unit
data_TiGe4Mo2
_cell_length_a 4.799
_cell_length_b 4.799
_cell_length_c 7.219
_cell_angle_alpha 70.59
_cell_angle_beta 70.59
_cell_angle_gamma 90.00
_symmetry_space_group_name_H-M 'P 1'
_symmetry_Int_Tables_number 1
_symmetry_space_group_name_Hall 'P 1'
loop_
_atom_site_label
_atom_site_type_symbol
_atom_site_fract_x
_atom_site_fract_y
_atom_site_fract_z
_atom_site_occupancy
Ge1 Ge 0.000 0.500 0.000 1
Ti1 Ti 0.000 0.000 0.000 1
Mo1 Mo 0.407 0.407 0.187 1
Ge2 Ge 0.801 0.801 0.398 1
Ge3 Ge 0.500 0.000 0.000 1
Mo2 Mo 0.593 0.593 0.813 1
Ge4 Ge 0.199 0.199 0.602 1

No. 3
# TiZn2Cu, relaxed, DFT PBE
# **Formation enthalpy at 0 K**: -0.58 eV per formula unit
data_TiZn2Cu
_cell_length_a 4.316
_cell_length_b 4.316
_cell_length_c 4.315
_cell_angle_alpha 89.59
_cell_angle_beta 120.23
_cell_angle_gamma 120.24
_symmetry_space_group_name_H-M 'P 1'
_symmetry_Int_Tables_number 1
_symmetry_space_group_name_Hall 'P 1'
loop_
_atom_site_label
_atom_site_type_symbol
_atom_site_fract_x
_atom_site_fract_y
_atom_site_fract_z
_atom_site_occupancy
Zn1 Zn 0.625 0.062 0.687 1
Zn2 Zn 0.125 0.812 0.937 1
Ti1 Ti 0.125 0.312 0.438 1
Cu1 Cu 0.625 0.563 0.188 1

No. 4
# SrPrEuDy, relaxed, DFT PBE
# **Formation enthalpy at 0 K**: 0.76 eV per formula unit
data_SrPrEuDy
_cell_length_a 6.056
_cell_length_b 6.056
_cell_length_c 6.056
_cell_angle_alpha 60.00
_cell_angle_beta 60.00
_cell_angle_gamma 60.00
_symmetry_space_group_name_H-M 'P 1'
_symmetry_Int_Tables_number 1
_symmetry_space_group_name_Hall 'P 1'
loop_
_atom_site_label
_atom_site_type_symbol
_atom_site_fract_x
_atom_site_fract_y
_atom_site_fract_z
_atom_site_occupancy
Sr1 Sr 0.000 0.000 0.000 1
Pr1 Pr 0.250 0.250 0.250 1
Eu1 Eu 0.750 0.750 0.750 1
Dy1 Dy 0.500 0.500 0.500 1

Here are the calculated VASP energy numbers, same order: -3.4656; -6.2902; -3.7789; -5.1452 (eV per atom).